# 1
An optimized crystal structure of Mg3MnH8, computed with PBE-GGA.

VASP energy in Ry per atom: -0.2564

Cell and atoms, written as CIF:
```
data_Mg3MnH8
_cell_length_a 5.377
_cell_length_b 8.367
_cell_length_c 5.382
_cell_angle_alpha 90.00
_cell_angle_beta 90.00
_cell_angle_gamma 90.00
_space_group_name_H-M_alt 'C 2 2 2'
_space_group_IT_number 21
_space_group_name_Hall 'C 2 2'
loop_
_atom_site_label
_atom_site_type_symbol
_atom_site_fract_x
_atom_site_fract_y
_atom_site_fract_z
Mg1 Mg 0.000 0.000 0.000
Mg2 Mg 0.250 0.250 0.730
Mn1 Mn 0.000 0.000 0.500
H1 H 0.000 0.196 0.500
H2 H 0.000 0.239 0.000
H3 H 0.232 0.005 0.707
```



# 2
An optimized crystal structure of Mg5Mn3H12, computed with PBE-GGA.

VASP energy in Ry per atom: -0.2668

Cell and atoms, written as CIF:
```
data_Mg5Mn3H12
_cell_length_a 10.746
_cell_length_b 10.746
_cell_length_c 10.746
_cell_angle_alpha 90.00
_cell_angle_beta 90.00
_cell_angle_gamma 90.00
_space_group_name_H-M_alt 'I a -3 d'
_space_group_IT_number 230
_space_group_name_Hall '-I 4bd 2c 3'
loop_
_atom_site_label
_atom_site_type_symbol
_atom_site_fract_x
_atom_site_fract_y
_atom_site_fract_z
Mg1 Mg 0.000 0.000 0.000
Mg2 Mg 0.000 0.250 0.375
Mn1 Mn 0.000 0.250 0.125
H1 H 0.001 0.081 0.160
```



# 3
An optimized crystal structure of Mg2MnH, computed with PBE-GGA.

Energy relative to the lowest polymorph listed for this composition in meV per atom: 0

Cell and atoms, written as CIF:
```
data_Mg2MnH
_cell_length_a 5.988
_cell_length_b 5.988
_cell_length_c 7.239
_cell_angle_alpha 90.00
_cell_angle_beta 90.00
_cell_angle_gamma 90.00
_space_group_name_H-M_alt 'I -4 2 d'
_space_group_IT_number 122
_space_group_name_Hall 'I -4 2bw'
loop_
_atom_site_label
_atom_site_type_symbol
_atom_site_fract_x
_atom_site_fract_y
_atom_site_fract_z
Mg1 Mg 0.129 0.750 0.125
Mn1 Mn 0.000 0.000 0.500
H1 H 0.000 0.000 0.000
```



# 4
An optimized crystal structure of MgMn2H, computed with PBE-GGA.

Energy relative to the lowest polymorph listed for this composition in meV per atom: 681

Cell and atoms, written as CIF:
```
data_MgMn2H
_cell_length_a 5.945
_cell_length_b 5.945
_cell_length_c 5.945
_cell_angle_alpha 90.00
_cell_angle_beta 90.00
_cell_angle_gamma 90.00
_space_group_name_H-M_alt 'F m -3 m'
_space_group_IT_number 225
_space_group_name_Hall '-F 4 2 3'
loop_
_atom_site_label
_atom_site_type_symbol
_atom_site_fract_x
_atom_site_fract_y
_atom_site_fract_z
Mg1 Mg 0.000 0.000 0.000
Mn1 Mn 0.250 0.250 0.250
H1 H 0.000 0.000 0.500
```



# 5
An optimized crystal structure of Mg3MnH6, computed with PBE-GGA.

VASP energy in Ry per atom: -0.2566

Cell and atoms, written as CIF:
```
data_Mg3MnH6
_cell_length_a 8.1143
_cell_length_b 8.1143
_cell_length_c 9.3720
_cell_angle_alpha 90.00
_cell_angle_beta 90.00
_cell_angle_gamma 120.00
_space_group_name_H-M_alt 'R -3'
_space_group_IT_number 148
_space_group_name_Hall '-R 3'
loop_
_atom_site_label
_atom_site_type_symbol
_atom_site_fract_x
_atom_site_fract_y
_atom_site_fract_z
Mg1 Mg 0.0504 0.2579 0.2008
Mn1 Mn 0.0000 0.0000 0.0000
Mn2 Mn 0.0000 0.0000 0.5000
H1 H 0.0234 0.1919 0.4050
H2 H 0.0370 0.1944 0.9070
```



# 6
An optimized crystal structure of MgMnH2, computed with PBE-GGA.

VASP energy in Ry per atom: -0.3212

Cell and atoms, written as CIF:
```
data_MgMnH2
_cell_length_a 4.303
_cell_length_b 4.303
_cell_length_c 8.379
_cell_angle_alpha 90.00
_cell_angle_beta 90.00
_cell_angle_gamma 90.00
_space_group_name_H-M_alt 'I -4 2 d'
_space_group_IT_number 122
_space_group_name_Hall 'I -4 2bw'
loop_
_atom_site_label
_atom_site_type_symbol
_atom_site_fract_x
_atom_site_fract_y
_atom_site_fract_z
Mg1 Mg 0.000 0.000 0.000
Mn1 Mn 0.000 0.000 0.500
H1 H 0.191 0.250 0.625
```



# 7
An optimized crystal structure of MgMn3H, computed with PBE-GGA.

Energy relative to the lowest polymorph listed for this composition in meV per atom: 1627

Cell and atoms, written as CIF:
```
data_MgMn3H
_cell_length_a 5.051
_cell_length_b 5.051
_cell_length_c 5.051
_cell_angle_alpha 90.00
_cell_angle_beta 90.00
_cell_angle_gamma 90.00
_space_group_name_H-M_alt 'P m -3 m'
_space_group_IT_number 221
_space_group_name_Hall '-P 4 2 3'
loop_
_atom_site_label
_atom_site_type_symbol
_atom_site_fract_x
_atom_site_fract_y
_atom_site_fract_z
Mg1 Mg 0.000 0.000 0.000
Mn1 Mn 0.000 0.000 0.500
H1 H 0.500 0.500 0.500
```



# 8
An optimized crystal structure of MgMn3H, computed with PBE-GGA.

Energy relative to the lowest polymorph listed for this composition in meV per atom: 0

Cell and atoms, written as CIF:
```
data_MgMn3H
_cell_length_a 3.937
_cell_length_b 3.937
_cell_length_c 3.937
_cell_angle_alpha 90.00
_cell_angle_beta 90.00
_cell_angle_gamma 90.00
_space_group_name_H-M_alt 'P m -3 m'
_space_group_IT_number 221
_space_group_name_Hall '-P 4 2 3'
loop_
_atom_site_label
_atom_site_type_symbol
_atom_site_fract_x
_atom_site_fract_y
_atom_site_fract_z
Mg1 Mg 0.000 0.000 0.000
Mn1 Mn 0.000 0.500 0.500
H1 H 0.500 0.500 0.500
```



# 9
An optimized crystal structure of MgMnH2, computed with PBE-GGA.

VASP energy in Ry per atom: -0.2818

Cell and atoms, written as CIF:
```
data_MgMnH2
_cell_length_a 5.413
_cell_length_b 5.413
_cell_length_c 5.413
_cell_angle_alpha 90.00
_cell_angle_beta 90.00
_cell_angle_gamma 90.00
_space_group_name_H-M_alt 'F m -3 m'
_space_group_IT_number 225
_space_group_name_Hall '-F 4 2 3'
loop_
_atom_site_label
_atom_site_type_symbol
_atom_site_fract_x
_atom_site_fract_y
_atom_site_fract_z
Mg1 Mg 0.000 0.000 0.000
Mn1 Mn 0.000 0.000 0.500
H1 H 0.250 0.250 0.250
```



# 10
An optimized crystal structure of Na2MgMnH6, computed with PBE-GGA.

VASP energy in Ry per atom: -0.2540

Cell and atoms, written as CIF:
```
data_Na2MgMnH6
_cell_length_a 5.089
_cell_length_b 7.198
_cell_length_c 5.091
_cell_angle_alpha 90.00
_cell_angle_beta 90.00
_cell_angle_gamma 90.00
_space_group_name_H-M_alt 'P m m n'
_space_group_IT_number 59
loop_
_space_group_symop_operation_xyz
'x,y,z'
'-x,-y,-z'
'-x+1/2,-y+1/2,z'
'x+1/2,y+1/2,-z'
'x+1/2,-y,-z'
'-x+1/2,y,z'
'-x,y+1/2,-z'
'x,-y+1/2,z'
loop_
_atom_site_label
_atom_site_type_symbol
_atom_site_fract_x
_atom_site_fract_y
_atom_site_fract_z
Na1 Na 0.250 0.000 0.250
Mg1 Mg 0.250 0.250 0.750
Mn1 Mn 0.250 0.750 0.750
H1 H 0.017 0.750 0.518
H2 H 0.018 0.750 0.982
H3 H 0.250 0.518 0.751
```



# 11
An optimized crystal structure of NdMg2MnH8, computed with PBE-GGA.

VASP energy in Ry per atom: -0.2919

Cell and atoms, written as CIF:
```
data_NdMg2MnH8
_cell_length_a 4.661
_cell_length_b 4.463
_cell_length_c 5.565
_cell_angle_alpha 90.00
_cell_angle_beta 108.16
_cell_angle_gamma 90.00
_space_group_name_H-M_alt 'P 1 2/m 1'
_space_group_IT_number 10
_space_group_name_Hall '-P 2y'
loop_
_atom_site_label
_atom_site_type_symbol
_atom_site_fract_x
_atom_site_fract_y
_atom_site_fract_z
Nd1 Nd 0.000 0.000 0.000
Mg1 Mg 0.412 0.500 0.711
Mn1 Mn 0.500 0.000 0.500
H1 H 0.214 0.500 0.962
H2 H 0.230 0.246 0.392
H3 H 0.424 0.000 0.777
```



# 12
An optimized crystal structure of Mg2MnNiH, computed with PBE-GGA.

VASP energy in Ry per atom: -0.3127

Cell and atoms, written as CIF:
```
data_Mg2MnNiH
_cell_length_a 4.328
_cell_length_b 4.328
_cell_length_c 3.392
_cell_angle_alpha 90.00
_cell_angle_beta 90.00
_cell_angle_gamma 90.00
_space_group_name_H-M_alt 'P 4/m m m'
_space_group_IT_number 123
_space_group_name_Hall '-P 4 2'
loop_
_atom_site_label
_atom_site_type_symbol
_atom_site_fract_x
_atom_site_fract_y
_atom_site_fract_z
Mg1 Mg 0.000 0.500 0.000
Mn1 Mn 0.000 0.000 0.500
Ni1 Ni 0.500 0.500 0.500
H1 H 0.000 0.000 0.000
```



# 13
An optimized crystal structure of MgMn2NiH, computed with PBE-GGA.

VASP energy in Ry per atom: -0.4235

Cell and atoms, written as CIF:
```
data_MgMn2NiH
_cell_length_a 3.930
_cell_length_b 3.930
_cell_length_c 3.695
_cell_angle_alpha 90.00
_cell_angle_beta 90.00
_cell_angle_gamma 90.00
_space_group_name_H-M_alt 'P 4/m m m'
_space_group_IT_number 123
_space_group_name_Hall '-P 4 2'
loop_
_atom_site_label
_atom_site_type_symbol
_atom_site_fract_x
_atom_site_fract_y
_atom_site_fract_z
Mg1 Mg 0.000 0.000 0.000
Mn1 Mn 0.000 0.500 0.500
Ni1 Ni 0.500 0.500 0.000
H1 H 0.500 0.500 0.500
```



# 14
An optimized crystal structure of MgNpMnH6, computed with PBE-GGA.

VASP energy in Ry per atom: -0.3646

Cell and atoms, written as CIF:
```
data_MgNpMnH6
_cell_length_a 4.4965
_cell_length_b 4.4965
_cell_length_c 4.3584
_cell_angle_alpha 90.00
_cell_angle_beta 90.00
_cell_angle_gamma 120.00
_space_group_name_H-M_alt 'P -6 m 2'
_space_group_IT_number 187
_space_group_name_Hall 'P -6 2'
loop_
_atom_site_label
_atom_site_type_symbol
_atom_site_fract_x
_atom_site_fract_y
_atom_site_fract_z
Mg1 Mg 0.0000 0.0000 0.0000
Np1 Np 0.6667 0.3333 0.5000
Mn1 Mn 0.3333 0.6667 0.0000
H1 H 0.1873 0.3747 0.2789
```